# Cs3Pm3CrO8

A geometry-optimized Cs3Pm3CrO8 structure (GGA+U, Alexandria).

The total energy is -6.5677 eV per atom. The value obtained for the total magnetization is 3.9 Bohr magnetons per cell.

It has space group C2/m (No. 12), with a = 12.2312 Å, b = 6.9728 Å, c = 8.0375 Å, α = 90.00°, β = 120.04° and γ = 90.00°. The asymmetric unit holds Cs at (0.0000, 0.0000, 0.0000), Cs at (0.2500, 0.2500, 0.0000), Pm at (0.0000, 0.5000, 0.5000), Pm at (0.2500, 0.2500, 0.5000), Cr at (0.0000, 0.0000, 0.5000), O at (0.0212, 0.2140, 0.3488), O at (0.2028, 0.0000, 0.6568) and O at (0.2202, 0.5000, 0.6664).